[1]
Here is a relaxed LiIn2As crystal from Alexandria. Energies are from PBEsol.

Unit cell a=2.9731 b=4.1594 c=7.1004 alpha=90.00 beta=101.33 gamma=90.00
Fractional coordinates of all 4 atoms:
Li 0.0000 0.0000 0.0000
In 0.3607 0.5000 0.7108
In 0.7023 0.0000 0.4174
As 0.5564 0.5000 0.1169

* energy of formation from the pure elements: -0.179 eV/atom

---

[2]
Here is a relaxed MgIn2As crystal from Alexandria. Energies are from PBEsol.

Unit cell a=4.9434 b=4.9434 c=5.8276 alpha=108.60 beta=108.60 gamma=45.83
Fractional coordinates of all 4 atoms:
Mg 0.0000 0.0000 0.0000
In 0.1553 0.1553 0.5773
In 0.3843 0.3843 0.3464
As 0.6965 0.6965 0.9452

* energy above the most stable polymorph in this dataset: 0.0000 eV/atom
* energy of formation from the pure elements: -0.140 eV/atom

---

[3]
Here is a relaxed MgIn2As crystal from Alexandria. Energies are from PBEsol.

Unit cell a=6.2615 b=6.2615 c=3.7518 alpha=107.21 beta=107.21 gamma=125.36
Fractional coordinates of all 4 atoms:
Mg 0.0000 0.0000 0.0000
In 0.0000 0.5000 0.5000
In 0.5000 0.0000 0.5000
As 0.5000 0.5000 0.0000

* energy above the most stable polymorph in this dataset: 0.0677 eV/atom
* energy of formation from the pure elements: -0.072 eV/atom

---

[4]
Here is a relaxed MgInAs2 crystal from Alexandria. Energies are from PBEsol.

Unit cell a=3.8355 b=5.3966 c=4.1033 alpha=90.00 beta=90.03 gamma=90.00
Fractional coordinates of all 4 atoms:
Mg 0.0000 0.0000 0.0000
In 0.4977 0.5000 0.6673
As 0.5002 0.0000 0.4934
As 0.9981 0.5000 0.1569

* energy of formation from the pure elements: -0.181 eV/atom

---

[5]
Here is a relaxed MgInAs crystal from Alexandria. Energies are from PBEsol.

Unit cell a=4.0063 b=4.0063 c=5.1043 alpha=90.00 beta=90.00 gamma=120.00
Fractional coordinates of all 3 atoms:
Mg 0.0000 0.0000 0.0000
In 0.6667 0.3333 0.4390
As 0.3333 0.6667 0.7354

* energy of formation from the pure elements: -0.213 eV/atom

---

[6]
Here is a relaxed Mg2InAs2 crystal from Alexandria. Energies are from PBEsol.

Unit cell a=8.0419 b=8.0419 c=3.1501 alpha=90.00 beta=90.00 gamma=90.00
Fractional coordinates of all 10 atoms:
Mg 0.1394 0.3606 0.0000
Mg 0.3606 0.8606 0.0000
Mg 0.6394 0.1394 0.0000
Mg 0.8606 0.6394 0.0000
In 0.0000 0.0000 0.5000
In 0.5000 0.5000 0.5000
As 0.1596 0.6596 0.5000
As 0.3404 0.1596 0.5000
As 0.6596 0.8404 0.5000
As 0.8404 0.3404 0.5000

* energy of formation from the pure elements: -0.292 eV/atom

---

[7]
Here is a relaxed MgIn2As crystal from Alexandria. Energies are from PBEsol.

Unit cell a=3.3811 b=3.3811 c=7.9074 alpha=90.00 beta=90.00 gamma=90.00
Fractional coordinates of all 4 atoms:
Mg 0.0000 0.0000 0.0000
In 0.0000 0.0000 0.4353
In 0.5000 0.5000 0.7302
As 0.5000 0.5000 0.1856

* energy above the most stable polymorph in this dataset: 0.0583 eV/atom
* energy of formation from the pure elements: -0.082 eV/atom

---

[8]
Here is a relaxed MgIn2As crystal from Alexandria. Energies are from PBEsol.

Unit cell a=3.8634 b=3.8634 c=6.0344 alpha=90.00 beta=90.00 gamma=90.00
Fractional coordinates of all 4 atoms:
Mg 0.0000 0.0000 0.0000
In 0.5000 0.5000 0.2592
In 0.5000 0.5000 0.7408
As 0.0000 0.0000 0.5000

* energy above the most stable polymorph in this dataset: 0.1314 eV/atom
* energy of formation from the pure elements: -0.009 eV/atom